Computed, not measured: a geometry-optimized ZrRuSe2Br structure at the PBE level of DFT.

Calculated values
**ΔE_f (raw)**: 6.35 kcal/mol of atoms
**DOS(E_F)**: 2.947 states/eV/f.u.
**Calculated total energy**: -5.018 eV/atom

Cell: 5.2186 5.2186 5.2669 Å, 90.00 90.00 90.00°
Last column: nearest neighbours and their distance in Å.
Sites, in units of the cell vectors:
Se (0.0000, 0.5000, 0.0000)  2 Zr 2.61
Se (0.5000, 0.0000, 0.0000)  2 Zr 2.61
Ru (0.5000, 0.5000, 0.5000)  4 Br 3.69, 8 Se 3.71
Zr (0.0000, 0.0000, 0.0000)  4 Se 2.61, 2 Br 2.63
Br (0.0000, 0.0000, 0.5000)  2 Zr 2.63